No. 1
Ta2CrMo: relaxed, PBE.

## Properties
Energy: -10.205 eV per atom
DFT formation energy: 3.34 eV per formula unit

```
data_Ta2CrMo
_cell_length_a 5.8560
_cell_length_b 5.8560
_cell_length_c 5.8560
_cell_angle_alpha 56.50
_cell_angle_beta 152.03
_cell_angle_gamma 131.98
_space_group_name_H-M_alt 'P 1'
_space_group_IT_number 1
loop_
_space_group_symop_operation_xyz
'x,y,z'
loop_
_atom_site_label
_atom_site_type_symbol
_atom_site_fract_x
_atom_site_fract_y
_atom_site_fract_z
Ta1 Ta 0.0000 0.2385 0.2385
Ta2 Ta 0.0000 0.7615 0.7615
Cr1 Cr 0.0000 0.0000 0.0000
Mo1 Mo 0.0000 0.5000 0.5000
```


No. 2
CrNiP2: relaxed, PBE.

## Properties
Energy: -6.714 eV per atom
DFT formation energy: -0.63 eV per formula unit

```
data_CrNiP2
_cell_length_a 2.9206
_cell_length_b 2.9119
_cell_length_c 5.9607
_cell_angle_alpha 68.29
_cell_angle_beta 90.00
_cell_angle_gamma 90.00
_space_group_name_H-M_alt 'P 1'
_space_group_IT_number 1
loop_
_space_group_symop_operation_xyz
'x,y,z'
loop_
_atom_site_label
_atom_site_type_symbol
_atom_site_fract_x
_atom_site_fract_y
_atom_site_fract_z
Cr1 Cr 0.5000 0.2500 0.2500
Ni1 Ni 0.5000 0.7500 0.7500
P1 P 0.0000 0.9210 0.0161
P2 P 0.0000 0.5790 0.4839
```


No. 3
La4Tb5Dy2: relaxed, PBE.

## Properties
Energy: -4.454 eV per atom
E above lowest polymorph: 18.64 kJ per mole of atoms
DFT formation energy: 3.07 eV per formula unit

```
data_La4Tb5Dy2
_cell_length_a 3.5230
_cell_length_b 9.3707
_cell_length_c 12.5305
_cell_angle_alpha 111.96
_cell_angle_beta 98.08
_cell_angle_gamma 90.00
_space_group_name_H-M_alt 'P 1'
_space_group_IT_number 1
loop_
_space_group_symop_operation_xyz
'x,y,z'
loop_
_atom_site_label
_atom_site_type_symbol
_atom_site_fract_x
_atom_site_fract_y
_atom_site_fract_z
La1 La 0.0000 0.2886 0.0000
La2 La 0.5939 0.5939 0.1878
La3 La 0.0000 0.7114 0.0000
La4 La 0.4061 0.4061 0.8122
Tb1 Tb 0.8504 0.0488 0.7008
Tb2 Tb 0.8504 0.6520 0.7008
Tb3 Tb 0.1496 0.3480 0.2992
Tb4 Tb 0.1496 0.9512 0.2992
Tb5 Tb 0.5000 0.0000 0.0000
Dy1 Dy 0.2715 0.2715 0.5429
Dy2 Dy 0.7285 0.7285 0.4571
```


No. 4
GeRhO: relaxed, PBE.

## Properties
Energy: -5.821 eV per atom
Formation energy without anion corrections: -0.179 eV per atom
E above lowest polymorph: 33.43 kJ per mole of atoms

```
data_GeRhO
_cell_length_a 3.1607
_cell_length_b 3.1607
_cell_length_c 4.3421
_cell_angle_alpha 111.34
_cell_angle_beta 111.34
_cell_angle_gamma 90.00
_space_group_name_H-M_alt 'P 1'
_space_group_IT_number 1
loop_
_space_group_symop_operation_xyz
'x,y,z'
loop_
_atom_site_label
_atom_site_type_symbol
_atom_site_fract_x
_atom_site_fract_y
_atom_site_fract_z
Ge1 Ge 0.9553 0.9553 0.9105
Rh1 Rh 0.2881 0.2881 0.5761
O1 O 0.6067 0.6067 0.2134
```


No. 5
Y3NiB: relaxed, PBE.

## Properties
Energy: -6.204 eV per atom
E above lowest polymorph: 0.00 kJ per mole of atoms
DFT formation energy: 0.83 eV per formula unit

```
data_Y3NiB
_cell_length_a 4.9660
_cell_length_b 4.9660
_cell_length_c 4.9660
_cell_angle_alpha 90.00
_cell_angle_beta 90.00
_cell_angle_gamma 90.00
_space_group_name_H-M_alt 'P 1'
_space_group_IT_number 1
loop_
_space_group_symop_operation_xyz
'x,y,z'
loop_
_atom_site_label
_atom_site_type_symbol
_atom_site_fract_x
_atom_site_fract_y
_atom_site_fract_z
Y1 Y 0.0000 0.5000 0.0000
Y2 Y 0.0000 0.0000 0.5000
Y3 Y 0.5000 0.0000 0.0000
Ni1 Ni 0.5000 0.5000 0.5000
B1 B 0.0000 0.0000 0.0000
```


No. 6
NbAl2P: relaxed, PBE.

## Properties
Energy: -5.727 eV per atom
DFT formation energy: 0.06 eV per formula unit

```
data_NbAl2P
_cell_length_a 7.2308
_cell_length_b 7.2308
_cell_length_c 5.7255
_cell_angle_alpha 50.84
_cell_angle_beta 50.84
_cell_angle_gamma 90.00
_space_group_name_H-M_alt 'P 1'
_space_group_IT_number 1
loop_
_space_group_symop_operation_xyz
'x,y,z'
loop_
_atom_site_label
_atom_site_type_symbol
_atom_site_fract_x
_atom_site_fract_y
_atom_site_fract_z
P1 P 0.5000 0.5000 0.0000
P2 P 0.2500 0.7500 0.5000
Nb1 Nb 0.0000 0.0000 0.0000
Nb2 Nb 0.7500 0.2500 0.5000
Al1 Al 0.5818 0.1250 0.2500
Al2 Al 0.1682 0.6250 0.2500
Al3 Al 0.3750 0.4182 0.7500
Al4 Al 0.8750 0.8318 0.7500
```


No. 7
BeFe2IBr: relaxed, PBE.

## Properties
Energy: -3.822 eV per atom
Formation energy without anion corrections: 0.953 eV per atom

```
data_BeFe2IBr
_cell_length_a 4.7677
_cell_length_b 4.3986
_cell_length_c 4.7677
_cell_angle_alpha 90.00
_cell_angle_beta 90.00
_cell_angle_gamma 90.00
_space_group_name_H-M_alt 'P 1'
_space_group_IT_number 1
loop_
_space_group_symop_operation_xyz
'x,y,z'
loop_
_atom_site_label
_atom_site_type_symbol
_atom_site_fract_x
_atom_site_fract_y
_atom_site_fract_z
I1 I 0.5000 0.5000 0.5000
Be1 Be 0.0000 0.0000 0.0000
Fe1 Fe 0.0000 0.0000 0.5000
Fe2 Fe 0.5000 0.0000 0.0000
Br1 Br 0.0000 0.5000 0.0000
```


No. 8
SiAg2Sb: relaxed, PBE.

## Properties
Energy: -3.504 eV per atom
Formation energy without anion corrections: 0.308 eV per atom
E above lowest polymorph: 6.15 kJ per mole of atoms

```
data_SiAg2Sb
_cell_length_a 3.0677
_cell_length_b 4.0234
_cell_length_c 6.4715
_cell_angle_alpha 90.00
_cell_angle_beta 90.00
_cell_angle_gamma 90.00
_space_group_name_H-M_alt 'P 1'
_space_group_IT_number 1
loop_
_space_group_symop_operation_xyz
'x,y,z'
loop_
_atom_site_label
_atom_site_type_symbol
_atom_site_fract_x
_atom_site_fract_y
_atom_site_fract_z
Ag1 Ag 0.0000 0.0000 0.9841
Ag2 Ag 0.5000 0.5000 0.2186
Sb1 Sb 0.0000 0.0000 0.5041
Si1 Si 0.5000 0.5000 0.7932
```


No. 9
La3Pm6Mg: relaxed, PBE.

## Properties
Energy: -4.374 eV per atom
DFT formation energy: 1.14 eV per formula unit

```
data_La3Pm6Mg
_cell_length_a 6.5155
_cell_length_b 10.4224
_cell_length_c 10.4224
_cell_angle_alpha 99.96
_cell_angle_beta 90.00
_cell_angle_gamma 90.00
_space_group_name_H-M_alt 'P 1'
_space_group_IT_number 1
loop_
_space_group_symop_operation_xyz
'x,y,z'
loop_
_atom_site_label
_atom_site_type_symbol
_atom_site_fract_x
_atom_site_fract_y
_atom_site_fract_z
La1 La 0.4393 0.8864 0.7144
La2 La 0.9393 0.7144 0.8864
La3 La 0.0945 0.3553 0.6447
La4 La 0.5945 0.6447 0.3553
La5 La 0.9393 0.1136 0.2856
La6 La 0.4393 0.2856 0.1136
Pm1 Pm 0.0965 0.6735 0.5649
Pm2 Pm 0.5965 0.5649 0.6735
Pm3 Pm 0.4030 0.5897 0.9830
Pm4 Pm 0.9030 0.9830 0.5897
Pm5 Pm 0.2538 0.9503 0.0497
Pm6 Pm 0.5945 0.2519 0.7481
Pm7 Pm 0.0945 0.7481 0.2519
Pm8 Pm 0.7538 0.0497 0.9503
Pm9 Pm 0.4030 0.0170 0.4103
Pm10 Pm 0.9030 0.4103 0.0170
Pm11 Pm 0.0965 0.4351 0.3265
Pm12 Pm 0.5965 0.3265 0.4351
Mg1 Mg 0.1649 0.1527 0.8473
Mg2 Mg 0.6649 0.8473 0.1527
```


No. 10
ZnSb2SI: relaxed, PBE.

## Properties
Energy: -2.407 eV per atom
Formation energy without anion corrections: 0.633 eV per atom
E above lowest polymorph: 0.00 kJ per mole of atoms

```
data_ZnSb2SI
_cell_length_a 5.2643
_cell_length_b 5.2643
_cell_length_c 5.6695
_cell_angle_alpha 90.00
_cell_angle_beta 90.00
_cell_angle_gamma 90.00
_space_group_name_H-M_alt 'P 1'
_space_group_IT_number 1
loop_
_space_group_symop_operation_xyz
'x,y,z'
loop_
_atom_site_label
_atom_site_type_symbol
_atom_site_fract_x
_atom_site_fract_y
_atom_site_fract_z
I1 I 0.0000 0.0000 0.5000
Sb1 Sb 0.0000 0.5000 0.0000
Sb2 Sb 0.5000 0.0000 0.0000
Zn1 Zn 0.5000 0.5000 0.5000
S1 S 0.0000 0.0000 0.0000
```


No. 11
Ca2NdCd8: relaxed, PBE.

## Properties
Energy: -1.723 eV per atom
DFT formation energy: -2.86 eV per formula unit

```
data_Ca2NdCd8
_cell_length_a 5.4437
_cell_length_b 6.3860
_cell_length_c 9.0672
_cell_angle_alpha 110.41
_cell_angle_beta 107.23
_cell_angle_gamma 90.65
_space_group_name_H-M_alt 'P 1'
_space_group_IT_number 1
loop_
_space_group_symop_operation_xyz
'x,y,z'
loop_
_atom_site_label
_atom_site_type_symbol
_atom_site_fract_x
_atom_site_fract_y
_atom_site_fract_z
Ca1 Ca 0.6881 0.6881 0.3763
Ca2 Ca 0.3119 0.3119 0.6237
Nd1 Nd 0.5000 0.0000 0.0000
Cd1 Cd 0.1230 0.3583 0.2580
Cd2 Cd 0.8649 0.1003 0.7420
Cd3 Cd 0.7479 0.5021 0.0000
Cd4 Cd 0.7034 0.2034 0.4068
Cd5 Cd 0.2966 0.7966 0.5932
Cd6 Cd 0.2521 0.4979 0.0000
Cd7 Cd 0.1351 0.8997 0.2580
Cd8 Cd 0.8770 0.6417 0.7420
```


No. 12
SbTe4Ru2: relaxed, PBE.

## Properties
Energy: -4.346 eV per atom
Formation energy without anion corrections: 0.689 eV per atom

```
data_SbTe4Ru2
_cell_length_a 5.6666
_cell_length_b 5.6666
_cell_length_c 7.8365
_cell_angle_alpha 68.80
_cell_angle_beta 68.80
_cell_angle_gamma 90.00
_space_group_name_H-M_alt 'P 1'
_space_group_IT_number 1
loop_
_space_group_symop_operation_xyz
'x,y,z'
loop_
_atom_site_label
_atom_site_type_symbol
_atom_site_fract_x
_atom_site_fract_y
_atom_site_fract_z
Sb1 Sb 0.0000 0.0000 0.0000
Te1 Te 0.7695 0.7695 0.4609
Te2 Te 0.2305 0.2305 0.5391
Te3 Te 0.0000 0.5000 0.0000
Te4 Te 0.5000 0.0000 0.0000
Ru1 Ru 0.5846 0.5846 0.8308
Ru2 Ru 0.4154 0.4154 0.1692
```


No. 13
NiN2Cl: relaxed, PBE.

## Properties
Energy: -4.758 eV per atom
Formation energy without anion corrections: 1.312 eV per atom
E above lowest polymorph: 38.70 kJ per mole of atoms

```
data_NiN2Cl
_cell_length_a 5.1236
_cell_length_b 5.1236
_cell_length_c 5.4662
_cell_angle_alpha 62.05
_cell_angle_beta 62.05
_cell_angle_gamma 90.00
_space_group_name_H-M_alt 'P 1'
_space_group_IT_number 1
loop_
_space_group_symop_operation_xyz
'x,y,z'
loop_
_atom_site_label
_atom_site_type_symbol
_atom_site_fract_x
_atom_site_fract_y
_atom_site_fract_z
Ni1 Ni 0.0000 0.0000 0.0000
Ni2 Ni 0.7500 0.2500 0.5000
N1 N 0.7358 0.1250 0.2500
N2 N 0.0142 0.6250 0.2500
N3 N 0.3750 0.2642 0.7500
N4 N 0.8750 0.9858 0.7500
Cl1 Cl 0.5000 0.5000 0.0000
Cl2 Cl 0.2500 0.7500 0.5000
```